Entry 1:
Be2Ga2Br: relaxed, PBE-GGA.

Cell: 8.1695 8.1695 2.4802 Å, 90.00 90.00 90.00°
Last column: nearest neighbours and their distance in Å.
Sites, in units of the cell vectors:
Be 0.1474 0.3526 0.0000  2 Be 2.48, 6 Ga 2.67-2.73
Be 0.3526 0.8526 0.0000  2 Be 2.48, 6 Ga 2.67-2.73
Be 0.6474 0.1474 0.0000  2 Be 2.48, 6 Ga 2.67-2.73
Be 0.8526 0.6474 0.0000  2 Be 2.48, 6 Ga 2.67-2.73
Ga 0.1421 0.6421 0.5000  2 Ga 2.48, 6 Be 2.67-2.73
Ga 0.3579 0.1421 0.5000  2 Ga 2.48, 6 Be 2.67-2.73
Ga 0.6421 0.8579 0.5000  2 Ga 2.48, 6 Be 2.67-2.73
Ga 0.8579 0.3579 0.5000  2 Ga 2.48, 6 Be 2.67-2.73
Br 0.0000 0.0000 0.5000  2 Br 2.48
Br 0.5000 0.5000 0.5000  2 Br 2.48

## Properties
D(E_F): 0.41 states/eV/atom

=====

Entry 2:
Mg3TaIn: relaxed, PBE-GGA.

Cell: 5.1425 5.1425 5.1425 Å, 90.00 90.00 90.00°
Last column: nearest neighbours and their distance in Å.
Sites, in units of the cell vectors:
Mg 0.0000 0.0000 0.5000  2 In 2.57
Mg 0.0000 0.5000 0.0000  2 In 2.57
Mg 0.5000 0.0000 0.0000  2 In 2.57
Ta 0.5000 0.5000 0.5000  12 Mg 3.64
In 0.0000 0.0000 0.0000  6 Mg 2.57

## Properties
D(E_F): 0.77 states/eV/atom
ΔE_f: 6.14 eV per formula unit

=====

Entry 3:
PmZn3Ru: relaxed, PBE-GGA.

Cell: 4.3954 4.5582 10.2985 Å, 90.00 90.00 90.00°
Last column: nearest neighbours and their distance in Å.
Sites, in units of the cell vectors:
Pm 0.0000 0.0000 0.0000  2 Ru 2.86, 9 Zn 3.04-3.18
Pm 0.0000 0.5000 0.5000  2 Ru 2.86, 9 Zn 3.04-3.18
Zn 0.0000 0.0000 0.7043  2 Ru 2.63
Zn 0.0000 0.5000 0.2043  2 Ru 2.63
Zn 0.5000 0.0000 0.2101  2 Ru 2.53, 1 Zn 2.70
Zn 0.5000 0.0000 0.4728  2 Ru 2.63, 1 Zn 2.70
Zn 0.5000 0.5000 0.7101  2 Ru 2.53, 1 Zn 2.70
Zn 0.5000 0.5000 0.9728  2 Ru 2.63, 1 Zn 2.70
Ru 0.0000 0.0000 0.3320  6 Zn 2.53-2.63
Ru 0.0000 0.5000 0.8320  6 Zn 2.53-2.63

## Properties
D(E_F): 0.55 states/eV/atom
ΔE_f: -0.29 eV per formula unit

=====

Record order is preserved below.
E: -2.59, -2.65, -3.63 eV per atom